A plane-wave DFT calculation with GGA-PBEsol was carried out for a relaxed structure of LiCr2Os.

Cell lengths 2.496, 4.017, 4.833 Å; angles 90.00, 98.89, 90.00 degrees
Positions (direct):
Cr  0.988  0.000  0.004
Cr  0.762  0.500  0.253
Li  0.523  0.000  0.497
Os  0.227  0.500  0.746

Summary:
As for the formation energy: 30 kJ per mole of atoms. The symmetry is Pm.


A plane-wave DFT calculation with GGA-PBEsol was carried out for a relaxed structure of NbPtCl3.

Cell lengths 4.790, 4.790, 4.790 Å; angles 90.00, 90.00, 90.00 degrees
Each line ends with the local moment (μB).
Positions (direct):
Nb  0.500  0.500  0.500  2.89
Pt  0.000  0.000  0.000  0.00
Cl  0.000  0.500  0.000  -0.02
Cl  0.000  0.000  0.500  -0.02
Cl  0.500  0.000  0.000  -0.02

Summary:
The raw formation energy is 557 meV per atom. The symmetry is Pm-3m.


A plane-wave DFT calculation with GGA-PBEsol was carried out for a relaxed structure of FeRe2Au.

Cell lengths 2.688, 4.786, 4.786 Å; angles 112.59, 90.00, 90.00 degrees
Each line ends with the local moment (μB).
Positions (direct):
Au  0.500  0.000  0.000  0.03
Fe  0.500  0.500  0.500  2.13
Re  0.000  0.500  0.000  -0.01
Re  0.000  0.000  0.500  -0.01

Summary:
The relative energy among the computed polymorphs comes out at 8.7 kJ per mole of atoms. As for the formation energy: 41 kJ per mole of atoms. The symmetry is Cmmm.


A plane-wave DFT calculation with GGA-PBEsol was carried out for a relaxed structure of BaCdBi2.

Cell lengths 4.688, 4.688, 12.291 Å; angles 100.99, 100.99, 90.00 degrees
Positions (direct):
Ba  0.117  0.117  0.234
Ba  0.883  0.883  0.766
Bi  0.500  0.000  0.000
Bi  0.331  0.331  0.662
Bi  0.000  0.500  0.000
Bi  0.669  0.669  0.338
Cd  0.250  0.750  0.500
Cd  0.750  0.250  0.500

Summary:
As for the formation energy: -53 kJ per mole of atoms. The symmetry is I4/mmm.


A plane-wave DFT calculation with GGA-PBEsol was carried out for a relaxed structure of Sr4SnPbO8.

Cell lengths 4.151, 4.151, 12.568 Å; angles 90.00, 90.00, 90.00 degrees
Positions (direct):
Sr  0.500  0.500  0.141
Sr  0.500  0.500  0.859
Sr  0.000  0.000  0.351
Sr  0.000  0.000  0.649
Sn  0.000  0.000  0.000
Pb  0.500  0.500  0.500
O  0.000  0.000  0.163
O  0.000  0.000  0.837
O  0.500  0.500  0.328
O  0.500  0.500  0.672
O  0.000  0.500  0.000
O  0.500  0.000  0.000
O  0.000  0.500  0.500
O  0.500  0.000  0.500

Summary:
The raw formation energy is -2205 meV per atom. The symmetry is P4/mmm.


A plane-wave DFT calculation with GGA-PBEsol was carried out for a relaxed structure of Zr2ZnW.

Cell lengths 2.801, 2.801, 9.107 Å; angles 90.00, 90.00, 90.00 degrees
Positions (direct):
W  0.500  0.500  0.000
Zn  0.500  0.500  0.500
Zr  0.000  0.000  0.742
Zr  0.000  0.000  0.258

Summary:
As for the formation energy: 7 kJ per mole of atoms. The symmetry is P4/mmm.


A plane-wave DFT calculation with GGA-PBEsol was carried out for a relaxed structure of MoAuSe2.

Cell lengths 3.049, 3.049, 9.729 Å; angles 80.99, 80.99, 60.00 degrees
Positions (direct):
Au  0.507  0.507  0.479
Mo  0.251  0.251  0.248
Se  0.978  0.978  0.065
Se  0.764  0.764  0.708

Summary:
The raw formation energy is 38 meV per atom. The relative energy among the computed polymorphs comes out at 0.0 kJ per mole of atoms. The symmetry is R3m.


A plane-wave DFT calculation with GGA-PBEsol was carried out for a relaxed structure of SrBe2Cl.

Cell lengths 3.856, 3.856, 6.356 Å; angles 106.97, 106.97, 92.18 degrees
Positions (direct):
Sr  0.500  0.500  0.000
Be  0.500  0.000  0.500
Be  0.000  0.500  0.500
Cl  0.000  0.000  0.000

Summary:
The raw formation energy is 119 meV per atom. The relative energy among the computed polymorphs comes out at 0.0 kJ per mole of atoms. The symmetry is Fmmm.


A plane-wave DFT calculation with GGA-PBEsol was carried out for a relaxed structure of SiSb2CI.

Cell lengths 4.860, 4.860, 4.530 Å; angles 90.00, 90.00, 90.00 degrees
Positions (direct):
I  0.000  0.000  0.500
Sb  0.000  0.500  0.000
Sb  0.500  0.000  0.000
Si  0.500  0.500  0.500
C  0.000  0.000  0.000

Summary:
The raw formation energy is 1215 meV per atom. The symmetry is P4/mmm.


A plane-wave DFT calculation with GGA-PBEsol was carried out for a relaxed structure of Tm3B7W.

Cell lengths 3.396, 8.003, 9.344 Å; angles 90.00, 90.00, 102.25 degrees
Positions (direct):
B  0.272  0.544  0.033
B  0.728  0.456  0.967
B  0.272  0.544  0.467
B  0.728  0.456  0.533
B  0.365  0.730  0.353
B  0.635  0.270  0.647
B  0.365  0.730  0.147
B  0.635  0.270  0.853
B  0.481  0.962  0.409
B  0.519  0.038  0.591
B  0.481  0.962  0.091
B  0.519  0.038  0.909
B  0.548  0.096  0.250
B  0.452  0.904  0.750
Tm  0.107  0.214  0.059
Tm  0.893  0.786  0.941
Tm  0.107  0.214  0.441
Tm  0.893  0.786  0.559
Tm  0.755  0.511  0.250
Tm  0.245  0.489  0.750
W  0.947  0.895  0.250
W  0.053  0.105  0.750

Summary:
As for the formation energy: -69 kJ per mole of atoms. The symmetry is Cmcm.


A plane-wave DFT calculation with GGA-PBEsol was carried out for a relaxed structure of ZrZnN2.

Cell lengths 3.264, 3.264, 5.245 Å; angles 90.00, 90.00, 120.00 degrees
Positions (direct):
Zn  0.333  0.667  0.551
Zr  0.000  0.000  0.997
N  0.667  0.333  0.740
N  0.333  0.667  0.183

Summary:
The raw formation energy is -1054 meV per atom. The symmetry is P3m1.


A plane-wave DFT calculation with GGA-PBEsol was carried out for a relaxed structure of Mo2C.

Cell lengths 2.961, 2.961, 5.090 Å; angles 73.09, 73.09, 60.00 degrees
Positions (direct):
Mo  0.248  0.248  0.255
Mo  0.752  0.752  0.745
C  0.000  0.000  0.000

Summary:
As for the formation energy: -13 kJ per mole of atoms. The symmetry is R-3m.


| no. | VASP energy (eV for the cell shown) |
| --- | --- |
| 1 | -33.40 |
| 2 | -21.02 |
| 3 | -37.86 |
| 4 | -28.19 |
| 5 | -88.49 |
| 6 | -33.28 |
| 7 | -23.24 |
| 8 | -11.37 |
| 9 | -20.20 |
| 10 | -170.94 |
| 11 | -31.94 |
| 12 | -33.58 |